# 1
The following is a DFT calculation (PBE) of NbTcNi after structural relaxation.

Summary:
As for the energy relative to the elements: 0.677 eV per atom. The theoretical density comes out at 8.01 g cm⁻³. The total energy is -7.997 eV per atom. The calculation puts the energy above the most stable polymorph in this dataset at 253.2 meV per atom. Its space-group type is F-43m. As for the total moment: 0.01 μB per formula unit.

Geometry as POSCAR:
```
NbTcNi
1.0
0.0000 2.9576 2.9576
2.9576 0.0000 2.9576
2.9576 2.9576 0.0000
Nb Tc Ni
1 1 1
Cartesian
0.0000 0.0000 0.0000
1.4788 1.4788 1.4788
4.4364 4.4364 4.4364
```



# 2
The following is a DFT calculation (PBE) of Ag2Sn2O5 after structural relaxation.

Summary:
The theoretical density comes out at 6.98 g cm⁻³. The total energy is -5.080 eV per atom. The calculation puts the energy above the most stable polymorph in this dataset at 0.0 meV per atom. Its space-group type is P4/mmm.

Geometry as POSCAR:
```
Ag2Sn2O5
1.0
3.9211 0.0000 0.0000
0.0000 3.9211 0.0000
0.0000 0.0000 8.2520
Ag Sn O
2 2 5
Cartesian
0.0000 0.0000 0.0000
0.0000 0.0000 4.1260
1.9606 1.9606 2.0114
1.9606 1.9606 6.2405
0.0000 1.9606 2.4735
0.0000 1.9606 5.7785
1.9606 0.0000 2.4735
1.9606 0.0000 5.7785
1.9606 1.9606 0.0000
```



# 3
The following is a DFT calculation (PBE) of LaBPt3 after structural relaxation.

Summary:
The theoretical density comes out at 14.10 g cm⁻³. The total energy is -6.651 eV per atom. The calculation puts the energy above the most stable polymorph in this dataset at 213.3 meV per atom. Its space-group type is Pm-3m. As for the total moment: 0.00 μB per formula unit.

Geometry as POSCAR:
```
LaBPt3
1.0
4.4234 0.0000 0.0000
0.0000 4.4234 0.0000
0.0000 0.0000 4.4234
La B Pt
1 1 3
Cartesian
0.0000 0.0000 0.0000
2.2117 2.2117 2.2117
0.0000 2.2117 2.2117
2.2117 0.0000 2.2117
2.2117 2.2117 0.0000
```



# 4
The following is a DFT calculation (PBE) of NaAlFeMo after structural relaxation.

Summary:
The theoretical density comes out at 5.53 g cm⁻³. The total energy is -5.499 eV per atom. The calculation puts the energy above the most stable polymorph in this dataset at 107.6 meV per atom. Its space-group type is F-43m. As for the total moment: 0.37 μB per formula unit.

Geometry as POSCAR:
```
NaAlFeMo
1.0
0.0000 3.1175 3.1175
3.1175 0.0000 3.1175
3.1175 3.1175 0.0000
Na Al Fe Mo
1 1 1 1
Cartesian
0.0000 0.0000 0.0000
4.6762 4.6762 4.6762
1.5587 1.5587 1.5587
3.1175 3.1175 3.1175
```



# 5
The following is a DFT calculation (PBE) of TbYBr6 after structural relaxation.

Summary:
The theoretical density comes out at 4.21 g cm⁻³. The total energy is -4.519 eV per atom. Its space-group type is C2. As for the total moment: 0.00 μB per formula unit.

Geometry as POSCAR:
```
TbYBr6
1.0
3.5605 -6.1937 0.0000
3.5605 6.1937 0.0000
-2.4775 0.0000 6.4998
Tb Y Br
1 1 6
Cartesian
0.0000 0.0000 0.0000
3.5605 2.0813 0.0000
1.2494 1.9474 1.5969
-0.1584 0.1394 4.9020
1.0584 -2.0606 1.6019
3.3940 1.9474 4.9028
4.8019 0.1394 1.5977
3.5850 -2.0606 4.8979
```



# 6
The following is a DFT calculation (PBE) of CsLaHgS3 after structural relaxation.

Summary:
The theoretical density comes out at 5.18 g cm⁻³. The total energy is -4.274 eV per atom. Its space-group type is C2/m. As for the total moment: 0.00 μB per formula unit.

Geometry as POSCAR:
```
CsLaHgS3
1.0
9.1745 -2.1871 0.0000
9.1745 2.1871 0.0000
-2.0267 0.0000 9.0823
Cs La Hg S
2 2 2 6
Cartesian
2.5415 0.0000 0.6477
13.7807 0.0000 8.4346
1.8604 0.0000 5.1909
14.4619 0.0000 3.8914
8.3289 0.0000 2.4617
7.9934 0.0000 6.6206
-1.0134 0.0000 4.5412
4.7216 0.0000 5.6701
5.7826 0.0000 2.0497
9.1745 0.0000 0.0000
10.5396 0.0000 7.0326
11.6006 0.0000 3.4122
```



# 7
The following is a DFT calculation (PBE) of Cd2SiSnAs4 after structural relaxation.

Summary:
The theoretical density comes out at 5.20 g cm⁻³. The total energy is -3.861 eV per atom. Its space-group type is I-4.

Geometry as POSCAR:
```
Cd2SiSnAs4
1.0
-3.0429 3.0429 5.7872
3.0429 -3.0429 5.7872
3.0429 3.0429 -5.7872
Cd Si Sn As
2 1 1 4
Cartesian
0.0000 0.0000 0.0000
0.0000 3.0429 2.8936
0.0000 0.0000 5.7872
3.0429 0.0000 2.8936
1.4007 -1.3900 4.4417
1.6529 1.6423 1.3455
1.6423 4.4329 -1.3455
1.3900 1.4007 7.1327
```



# 8
The following is a DFT calculation (PBE) of Tm2In8Fe after structural relaxation.

Summary:
The theoretical density comes out at 8.53 g cm⁻³. The total energy is -3.775 eV per atom. Its space-group type is P4/mmm. As for the total moment: 0.93 μB per formula unit.

Geometry as POSCAR:
```
Tm2In8Fe
1.0
4.5732 0.0000 0.0000
0.0000 4.5732 0.0000
0.0000 0.0000 12.2153
Tm In Fe
2 8 1
Cartesian
0.0000 0.0000 2.3555
0.0000 0.0000 9.8598
0.0000 2.2866 0.0000
0.0000 2.2866 4.6401
0.0000 2.2866 7.5753
2.2866 0.0000 0.0000
2.2866 0.0000 4.6401
2.2866 0.0000 7.5753
2.2866 2.2866 2.3496
2.2866 2.2866 9.8657
0.0000 0.0000 6.1077
```



# 9
The following is a DFT calculation (PBE) of HfB4Au after structural relaxation.

Summary:
The theoretical density comes out at 11.13 g cm⁻³. The total energy is -6.815 eV per atom. The calculation puts the energy above the most stable polymorph in this dataset at 0.0 meV per atom. Its space-group type is Immm. As for the total moment: 0.00 μB per formula unit.

Geometry as POSCAR:
```
HfB4Au
1.0
-1.5676 2.5460 3.9139
1.5676 -2.5460 3.9139
1.5676 2.5460 -3.9139
Hf B Au
1 4 1
Cartesian
0.0000 0.0000 0.0000
1.5676 -0.9553 1.7598
1.5676 0.9553 1.7598
0.0000 1.5906 2.1541
0.0000 3.5013 2.1541
0.0000 0.0000 3.9139
```



# 10
The following is a DFT calculation (PBE) of Hg2TeS after structural relaxation.

Summary:
The theoretical density comes out at 7.35 g cm⁻³. The total energy is -2.089 eV per atom. Its space-group type is P-4m2.

Geometry as POSCAR:
```
Hg2TeS
1.0
4.4822 0.0000 0.0000
0.0000 4.4822 0.0000
0.0000 0.0000 6.3044
Hg Te S
2 1 1
Cartesian
0.0000 2.2411 1.4085
2.2411 0.0000 4.8959
0.0000 0.0000 3.1522
2.2411 2.2411 0.0000
```



# 11
The following is a DFT calculation (PBE) of HoTm2Mg3ZnIn2 after structural relaxation.

Summary:
The theoretical density comes out at 6.67 g cm⁻³. The total energy is -3.106 eV per atom. Its space-group type is Amm2. As for the total moment: 0.00 μB per formula unit.

Geometry as POSCAR:
```
HoTm2Mg3ZnIn2
1.0
4.5246 0.0000 0.0000
0.0000 6.4587 3.7083
0.0000 -6.4587 3.7083
Ho Tm Mg Zn In
1 2 3 1 2
Cartesian
0.0000 0.0000 0.0000
0.0000 -2.6940 4.6401
0.0000 2.6940 4.6401
2.2623 -1.5225 2.2232
2.2623 1.5225 2.2232
2.2623 0.0000 4.8503
0.0000 0.0000 3.1116
2.2623 -4.2965 3.0937
2.2623 4.2965 3.0937
```



# 12
The following is a DFT calculation (PBE) of Cu5Ag4 after structural relaxation.

Summary:
As for the energy relative to the elements: 0.077 eV per atom. The theoretical density comes out at 9.46 g cm⁻³. The total energy is -3.243 eV per atom. The calculation puts the energy above the most stable polymorph in this dataset at 36.4 meV per atom. Its space-group type is I4/mmm.

Geometry as POSCAR:
```
Cu5Ag4
1.0
-1.3990 1.3990 16.8042
1.3990 -1.3990 16.8042
1.3990 1.3990 -16.8042
Cu Ag
5 4
Cartesian
0.0000 0.0000 0.0000
0.0000 0.0000 3.8422
0.0000 0.0000 11.4041
0.0000 0.0000 22.2042
0.0000 0.0000 29.7661
0.0000 0.0000 7.3032
0.0000 0.0000 14.8824
0.0000 0.0000 18.7260
0.0000 0.0000 26.3052
```



# 13
The following is a DFT calculation (PBE) of LiHfCoSb after structural relaxation.

Summary:
The theoretical density comes out at 9.17 g cm⁻³. The total energy is -5.689 eV per atom. The calculation puts the energy above the most stable polymorph in this dataset at 366.0 meV per atom. Its space-group type is F-43m. As for the total moment: 0.99 μB per formula unit.

Geometry as POSCAR:
```
LiHfCoSb
1.0
0.0000 3.2126 3.2126
3.2126 0.0000 3.2126
3.2126 3.2126 0.0000
Li Hf Co Sb
1 1 1 1
Cartesian
0.0000 0.0000 0.0000
1.6063 1.6063 1.6063
4.8190 4.8190 4.8190
3.2126 3.2126 3.2126
```



# 14
The following is a DFT calculation (PBE) of AcCdPO after structural relaxation.

Summary:
The theoretical density comes out at 6.52 g cm⁻³. The total energy is -5.365 eV per atom. The calculation puts the energy above the most stable polymorph in this dataset at 250.3 meV per atom. Its space-group type is Pmc2_1. As for the total moment: 0.00 μB per formula unit.

Geometry as POSCAR:
```
AcCdPO
1.0
4.6357 0.0000 0.0000
0.0000 6.6846 0.0000
0.0000 0.0000 6.3496
Ac Cd P O
2 2 2 2
Cartesian
0.0000 1.6265 0.0000
0.0000 5.0581 3.1748
2.3178 2.2744 3.6407
2.3178 4.4101 0.4659
0.0000 1.4660 3.1286
0.0000 5.2186 6.3034
2.3178 2.2063 6.0668
2.3178 4.4783 2.8920
```



# 15
The following is a DFT calculation (PBE) of TmThMg after structural relaxation.

Summary:
The theoretical density comes out at 7.14 g cm⁻³. The total energy is -3.929 eV per atom. The calculation puts the energy above the most stable polymorph in this dataset at 0.0 meV per atom. Its space-group type is F-43m. As for the total moment: 0.11 μB per formula unit.

Geometry as POSCAR:
```
TmThMg
1.0
0.0000 3.6709 3.6709
3.6709 0.0000 3.6709
3.6709 3.6709 0.0000
Tm Th Mg
1 1 1
Cartesian
0.0000 0.0000 0.0000
3.6709 3.6709 3.6709
5.5064 5.5064 5.5064
```



# 16
The following is a DFT calculation (PBE) of SmAgGeSe2S after structural relaxation.

Summary:
The theoretical density comes out at 6.18 g cm⁻³. The total energy is -4.638 eV per atom. Its space-group type is Cmcm. As for the total moment: 0.00 μB per formula unit.

Geometry as POSCAR:
```
SmAgGeSe2S
1.0
2.0107 -6.5943 0.0000
2.0107 6.5943 0.0000
0.0000 0.0000 10.5569
Sm Ag Ge Se S
2 2 2 4 2
Cartesian
0.0000 0.0000 0.0000
0.0000 0.0000 5.2784
2.0107 0.2520 7.9177
2.0107 -0.2520 2.6392
2.0107 3.3689 2.6392
2.0107 -3.3689 7.9177
2.0107 2.0229 5.9962
2.0107 2.0229 9.8391
2.0107 -2.0229 0.7178
2.0107 -2.0229 4.5607
2.0107 5.2578 7.9177
2.0107 -5.2578 2.6392
```



# 17
The following is a DFT calculation (PBE) of LuTaFeB after structural relaxation.

Summary:
The theoretical density comes out at 12.35 g cm⁻³. The total energy is -7.167 eV per atom. The calculation puts the energy above the most stable polymorph in this dataset at 0.0 meV per atom. Its space-group type is F-43m. As for the total moment: 0.02 μB per formula unit.

Geometry as POSCAR:
```
LuTaFeB
1.0
0.0000 3.0515 3.0515
3.0515 0.0000 3.0515
3.0515 3.0515 0.0000
Lu Ta Fe B
1 1 1 1
Cartesian
0.0000 0.0000 0.0000
4.5773 4.5773 4.5773
3.0515 3.0515 3.0515
1.5258 1.5258 1.5258
```



# 18
The following is a DFT calculation (PBE) of YBeZnFe after structural relaxation.

Summary:
The theoretical density comes out at 5.67 g cm⁻³. The total energy is -4.808 eV per atom. The calculation puts the energy above the most stable polymorph in this dataset at 0.0 meV per atom. Its space-group type is F-43m. As for the total moment: 2.56 μB per formula unit.

Geometry as POSCAR:
```
YBeZnFe
1.0
0.0000 3.1787 3.1787
3.1787 0.0000 3.1787
3.1787 3.1787 0.0000
Y Be Zn Fe
1 1 1 1
Cartesian
0.0000 0.0000 0.0000
4.7680 4.7680 4.7680
1.5893 1.5893 1.5893
3.1787 3.1787 3.1787
```



# 19
The following is a DFT calculation (PBE) of TaNbW6 after structural relaxation.

Summary:
As for the energy relative to the elements: -0.076 eV per atom. The theoretical density comes out at 17.28 g cm⁻³. The total energy is -12.539 eV per atom. Its space-group type is P4/mmm. As for the total moment: 0.00 μB per formula unit.

Geometry as POSCAR:
```
TaNbW6
1.0
4.5408 0.0000 0.0000
0.0000 4.5408 0.0000
0.0000 0.0000 6.4175
Ta Nb W
1 1 6
Cartesian
0.0000 0.0000 0.0000
2.2704 2.2704 3.2088
0.0000 0.0000 3.2088
0.0000 2.2704 1.6057
0.0000 2.2704 4.8118
2.2704 0.0000 1.6057
2.2704 0.0000 4.8118
2.2704 2.2704 0.0000
```



# 20
The following is a DFT calculation (PBE) of MoPdPb after structural relaxation.

Summary:
The theoretical density comes out at 10.35 g cm⁻³. The total energy is -5.881 eV per atom. The calculation puts the energy above the most stable polymorph in this dataset at 0.0 meV per atom. Its space-group type is F-43m. As for the total moment: 1.62 μB per formula unit.

Geometry as POSCAR:
```
MoPdPb
1.0
0.0000 3.2026 3.2026
3.2026 0.0000 3.2026
3.2026 3.2026 0.0000
Mo Pd Pb
1 1 1
Cartesian
0.0000 0.0000 0.0000
1.6013 1.6013 1.6013
4.8039 4.8039 4.8039
```